(1)
InAs | PBE-GGA | relaxed

abc: 6.769 6.769 5.771
angles: 90.08 90.08 34.69
Element x y z (fractional)
In: 0.347 0.347 0.444
In: 0.042 0.042 0.445
In: 0.694 0.694 0.944
As: 0.009 0.009 0.945
As: 0.695 0.695 0.444
As: 0.380 0.380 0.944

Output
Formation energy from the elements: -4 kJ/mol of formula units
Energy: -22.283 eV per cell
SG: Cm
Volume: 25.1 Å³/atom

=====

(2)
In3As | PBE-GGA | relaxed

abc: 5.990 5.990 3.197
angles: 90.00 90.00 118.27
Element x y z (fractional)
As: 0.000 0.000 0.000
In: 0.000 0.500 0.500
In: 0.500 0.000 0.500
In: 0.500 0.500 0.000

Output
Formation energy from the elements: 38 kJ/mol of formula units
Energy: -12.471 eV per cell
SG: Cmmm
ΔE to the lowest computed polymorph: 87 meV/atom
Volume: 25.3 Å³/atom

=====

(3)
InAs2 | PBE-GGA | relaxed

abc: 3.863 3.863 5.020
angles: 90.00 90.00 90.00
Element x y z (fractional)
As: 0.000 0.500 0.500
As: 0.500 0.000 0.500
In: 0.000 0.000 0.000

Output
Formation energy from the elements: 46 kJ/mol of formula units
Energy: -11.561 eV per cell
SG: P4/mmm
Volume: 25.0 Å³/atom

=====

(4)
InAs2 | PBE-GGA | relaxed

abc: 3.697 3.697 6.206
angles: 90.00 90.00 120.00
Element x y z (fractional)
As: 0.333 0.667 0.616
As: 0.667 0.333 0.384
In: 0.000 0.000 0.000

Output
Formation energy from the elements: 18 kJ/mol of formula units
Energy: -11.848 eV per cell
SG: P-3m1
Volume: 24.5 Å³/atom

=====

(5)
In3As5 | PBE-GGA | relaxed

abc: 9.007 9.007 5.640
angles: 90.00 90.00 120.00
Element x y z (fractional)
As: 0.333 0.667 0.000
As: 0.667 0.333 0.500
As: 0.667 0.333 0.000
As: 0.333 0.667 0.500
As: 0.163 0.000 0.250
As: 0.837 0.000 0.750
As: 0.000 0.163 0.250
As: 0.837 0.837 0.250
As: 0.163 0.163 0.750
As: 0.000 0.837 0.750
In: 0.598 0.000 0.250
In: 0.402 0.000 0.750
In: 0.000 0.598 0.250
In: 0.402 0.402 0.250
In: 0.598 0.598 0.750
In: 0.000 0.402 0.750

Output
Formation energy from the elements: 190 kJ/mol of formula units
Energy: -58.986 eV per cell
SG: P6_3/mcm
ΔE to the lowest computed polymorph: 0 meV/atom
Volume: 24.8 Å³/atom

=====

(6)
InAs3 | PBE-GGA | relaxed

abc: 4.890 4.890 4.890
angles: 60.00 60.00 60.00
Element x y z (fractional)
As: 0.000 0.000 0.000
As: 0.250 0.250 0.250
As: 0.500 0.500 0.500
In: 0.750 0.750 0.750

Output
Formation energy from the elements: 131 kJ/mol of formula units
Energy: -15.331 eV per cell
SG: Fm-3m
Volume: 20.7 Å³/atom

=====

(7)
In2As | PBE-GGA | relaxed

abc: 6.440 6.440 6.440
angles: 148.04 148.04 45.82
Element x y z (fractional)
As: 0.500 0.500 0.000
In: 0.148 0.148 0.000
In: 0.852 0.852 0.000

Output
Formation energy from the elements: 22 kJ/mol of formula units
Energy: -9.896 eV per cell
SG: I4/mmm
Volume: 24.9 Å³/atom

=====

(8)
InAs | PBE-GGA | relaxed

abc: 5.872 5.872 5.337
angles: 90.00 90.00 149.62
Element x y z (fractional)
As: 0.884 0.116 0.750
As: 0.116 0.884 0.250
In: 0.631 0.369 0.750
In: 0.369 0.631 0.250

Output
Formation energy from the elements: 24 kJ/mol of formula units
Energy: -14.282 eV per cell
SG: Cmcm
Volume: 23.3 Å³/atom

=====

(9)
In2As | PBE-GGA | relaxed

abc: 6.338 6.338 7.704
angles: 71.16 71.16 32.01
Element x y z (fractional)
In: 0.362 0.362 0.277
In: 0.361 0.361 0.778
In: 0.043 0.043 0.456
In: 0.679 0.679 0.100
As: 0.050 0.050 0.890
As: 0.672 0.672 0.666

Output
Formation energy from the elements: 20 kJ/mol of formula units
Energy: -19.833 eV per cell
SG: Cm
Volume: 25.8 Å³/atom

=====

(10)
In6As7 | PBE-GGA | relaxed

abc: 10.915 10.915 10.915
angles: 31.08 31.08 31.08
Element x y z (fractional)
As: 0.580 0.108 0.580
As: 0.580 0.580 0.108
As: 0.108 0.580 0.580
As: 0.420 0.892 0.420
As: 0.892 0.420 0.420
As: 0.420 0.420 0.892
As: 0.500 0.500 0.500
In: 0.050 0.050 0.050
In: 0.950 0.950 0.950
In: 0.157 0.157 0.157
In: 0.843 0.843 0.843
In: 0.331 0.331 0.331
In: 0.669 0.669 0.669

Output
Formation energy from the elements: 192 kJ/mol of formula units
Energy: -46.991 eV per cell
SG: R-3m
Volume: 23.6 Å³/atom

=====

(11)
In3As | PBE-GGA | relaxed

abc: 5.241 5.241 5.241
angles: 60.00 60.00 60.00
Element x y z (fractional)
As: 0.000 0.000 0.000
In: 0.250 0.250 0.250
In: 0.500 0.500 0.500
In: 0.750 0.750 0.750

Output
Formation energy from the elements: 56 kJ/mol of formula units
Energy: -12.288 eV per cell
SG: Fm-3m
ΔE to the lowest computed polymorph: 133 meV/atom
Volume: 25.4 Å³/atom

=====

(12)
In3As | PBE-GGA | relaxed

abc: 5.737 5.737 5.737
angles: 90.00 90.00 90.00
Element x y z (fractional)
As: 0.000 0.000 0.000
In: 0.500 0.000 0.000
In: 0.000 0.500 0.000
In: 0.000 0.000 0.500

Output
Formation energy from the elements: 219 kJ/mol of formula units
Energy: -10.595 eV per cell
SG: Pm-3m
ΔE to the lowest computed polymorph: 556 meV/atom
Volume: 47.2 Å³/atom

=====

(13)
In3As | PBE-GGA | relaxed

abc: 6.356 6.356 6.356
angles: 144.71 134.77 58.63
Element x y z (fractional)
As: 0.008 0.000 0.008
In: 0.581 0.500 0.081
In: 0.920 0.298 0.622
In: 0.325 0.702 0.622

Output
Formation energy from the elements: 12 kJ/mol of formula units
Energy: -12.736 eV per cell
SG: Imm2
ΔE to the lowest computed polymorph: 21 meV/atom
Volume: 26.1 Å³/atom

=====

(14)
In2As | PBE-GGA | relaxed

abc: 6.070 6.070 6.070
angles: 60.00 60.00 60.00
Element x y z (fractional)
In: 0.625 0.125 0.125
In: 0.125 0.625 0.125
In: 0.125 0.125 0.625
In: 0.125 0.125 0.125
As: 0.500 0.500 0.500
As: 0.750 0.750 0.750

Output
Formation energy from the elements: 133 kJ/mol of formula units
Energy: -17.494 eV per cell
SG: Fd-3m
Volume: 26.4 Å³/atom

=====

(15)
InAs | PBE-GGA | relaxed

abc: 5.251 5.251 8.578
angles: 90.00 90.00 120.00
Element x y z (fractional)
In: 0.000 0.000 0.250
In: 0.000 0.000 0.750
In: 0.333 0.667 0.750
In: 0.667 0.333 0.250
As: 0.333 0.667 0.099
As: 0.667 0.333 0.599
As: 0.667 0.333 0.901
As: 0.333 0.667 0.401

Output
Formation energy from the elements: 65 kJ/mol of formula units
Energy: -26.855 eV per cell
SG: P6_3/mmc
Volume: 25.6 Å³/atom

=====

(16)
InAs | PBE-GGA | relaxed

abc: 8.470 8.470 8.470
angles: 90.00 90.00 90.00
Element x y z (fractional)
In: 0.341 0.341 0.341
In: 0.341 0.659 0.659
In: 0.659 0.341 0.659
In: 0.659 0.659 0.341
In: 0.841 0.841 0.841
In: 0.841 0.159 0.159
In: 0.159 0.841 0.159
In: 0.159 0.159 0.841
As: 0.162 0.162 0.162
As: 0.162 0.838 0.838
As: 0.838 0.162 0.838
As: 0.838 0.838 0.162
As: 0.662 0.662 0.662
As: 0.662 0.338 0.338
As: 0.338 0.662 0.338
As: 0.338 0.338 0.662

Output
Formation energy from the elements: -10 kJ/mol of formula units
Energy: -59.921 eV per cell
SG: I-43m
Volume: 38.0 Å³/atom

=====

(17)
In4As | PBE-GGA | relaxed

abc: 5.455 5.455 5.455
angles: 90.00 90.00 90.00
Element x y z (fractional)
As: 0.500 0.500 0.500
In: 0.000 0.000 0.000
In: 0.500 0.000 0.500
In: 0.000 0.500 0.500
In: 0.500 0.500 0.000

Output
Formation energy from the elements: 177 kJ/mol of formula units
Energy: -13.773 eV per cell
SG: Pm-3m
ΔE to the lowest computed polymorph: 286 meV/atom
Volume: 32.5 Å³/atom

=====

(18)
InAs | PBE-GGA | relaxed

abc: 10.646 10.646 4.454
angles: 90.00 90.00 120.00
Element x y z (fractional)
In: 0.921 0.334 0.250
In: 0.588 0.921 0.750
In: 0.666 0.588 0.250
In: 0.079 0.666 0.750
In: 0.412 0.079 0.250
In: 0.334 0.412 0.750
As: 0.672 0.085 0.250
As: 0.588 0.672 0.750
As: 0.915 0.588 0.250
As: 0.328 0.915 0.750
As: 0.412 0.328 0.250
As: 0.085 0.412 0.750

Output
Formation energy from the elements: -22 kJ/mol of formula units
Energy: -45.667 eV per cell
SG: P6_3/m
Volume: 36.4 Å³/atom

=====

(19)
In3As | PBE-GGA | relaxed

abc: 6.579 6.579 5.585
angles: 90.00 90.00 120.10
Element x y z (fractional)
In: 0.932 0.068 0.250
In: 0.068 0.932 0.750
In: 0.957 0.572 0.250
In: 0.043 0.428 0.750
In: 0.428 0.043 0.250
In: 0.572 0.957 0.750
As: 0.498 0.502 0.750
As: 0.502 0.498 0.250

Output
Formation energy from the elements: 17 kJ/mol of formula units
Energy: -25.377 eV per cell
SG: Cmcm
ΔE to the lowest computed polymorph: 32 meV/atom
Volume: 26.1 Å³/atom

=====

(20)
InAs | PBE-GGA | relaxed

abc: 4.382 6.645 13.416
angles: 90.00 90.00 90.00
Element x y z (fractional)
In: 0.000 0.902 0.855
In: 0.500 0.098 0.645
In: 0.500 0.098 0.355
In: 0.000 0.902 0.145
In: 0.000 0.601 0.500
In: 0.500 0.399 0.000
As: 0.000 0.863 0.652
As: 0.500 0.137 0.848
As: 0.500 0.137 0.152
As: 0.000 0.863 0.348
As: 0.000 0.629 0.000
As: 0.500 0.371 0.500

Output
Formation energy from the elements: -27 kJ/mol of formula units
Energy: -45.982 eV per cell
SG: Pmmn
Volume: 32.6 Å³/atom